A relaxed Tb2Pm7Sm3 crystal, computed with PBE.

Cell lengths 5.6378, 6.2415, 12.3331 Å; angles 92.15, 90.00, 90.00 degrees
Fractional coordinates of all 12 atoms:
Tb 0.5000 0.3780 0.7196
Sm 0.0000 0.0612 0.6621
Pm 0.5000 0.9107 0.8323
Pm 0.0000 0.4436 0.1836
Pm 0.0000 0.0000 0.0000
Pm 0.5000 0.2408 0.4495
Pm 0.5000 0.0893 0.1677
Pm 0.0000 0.5564 0.8164
Sm 0.5000 0.5000 0.0000
Sm 0.0000 0.9388 0.3379
Pm 0.5000 0.7592 0.5505
Tb 0.5000 0.6220 0.2804

Properties
* SG: P2/m, No. 10
* ΔE_f: 0.282 eV per atom
* calculated total energy: -4.44 eV/atom
* E above lowest polymorph: 0.195 eV/atom